[1]
8
Lattice="4.2932 0.0000 0.0000 0.0000 4.2932 0.0000 0.0000 0.0000 9.6663" Properties=species:S:1:pos:R:3 comment="YZnSn2 PBEsol relaxed" crystal_system=tetragonal n_ef_per_ev_atom=0.432 e_form_mev_per_atom=-519 e_tot_ev_per_cell=-38.00 rho_g_cm3=7.30 pbc="T T T"
Y 1.0733 1.0733 2.3934
Y 3.2199 3.2199 7.2728
Zn 1.0733 3.2199 0.0000
Zn 3.2199 1.0733 0.0000
Sn 1.0733 1.0733 7.8848
Sn 1.0733 3.2199 4.8331
Sn 3.2199 1.0733 4.8331
Sn 3.2199 3.2199 1.7814

***

[2]
5
Lattice="-2.0503 2.0503 6.5396 2.0503 -2.0503 6.5396 2.0503 2.0503 -6.5396" Properties=species:S:1:pos:R:3 comment="YZn2Sn2 PBEsol relaxed" crystal_system=tetragonal n_ef_per_ev_atom=0.287 e_form_mev_per_atom=-223 e_tot_ev_per_cell=-19.62 rho_g_cm3=6.90 pbc="T T T"
Y 0.0000 0.0000 0.0000
Zn 2.0503 0.0000 3.2698
Zn 0.0000 2.0503 3.2698
Sn 0.0000 0.0000 5.0644
Sn 0.0000 0.0000 8.0148

***

[3]
5
Lattice="5.2544 0.0000 0.0000 0.0000 5.2544 0.0000 0.0000 0.0000 5.2544" Properties=species:S:1:pos:R:3 comment="Y3ZnSn PBEsol relaxed" crystal_system=cubic n_ef_per_ev_atom=1.057 e_form_mev_per_atom=-121 e_tot_ev_per_cell=-26.91 rho_g_cm3=5.16 pbc="T T T"
Y 0.0000 0.0000 2.6272
Y 0.0000 2.6272 0.0000
Y 2.6272 0.0000 0.0000
Zn 0.0000 0.0000 0.0000
Sn 2.6272 2.6272 2.6272

***

[4]
5
Lattice="5.2960 0.0000 0.0000 0.0000 5.2960 0.0000 0.0000 0.0000 5.2960" Properties=species:S:1:pos:R:3 comment="YZr3Sn PBEsol relaxed" crystal_system=cubic n_ef_per_ev_atom=1.773 e_form_mev_per_atom=644 e_tot_ev_per_cell=-35.13 rho_g_cm3=5.38 pbc="T T T"
Y 0.0000 0.0000 0.0000
Zr 0.0000 2.6480 2.6480
Zr 2.6480 0.0000 2.6480
Zr 2.6480 2.6480 0.0000
Sn 2.6480 2.6480 2.6480

***

[5]
8
Lattice="6.2164 0.0000 0.0000 -3.1082 5.3836 0.0000 0.0000 0.0000 5.1197" Properties=species:S:1:pos:R:3 comment="Zr3Sn PBEsol relaxed" crystal_system=hexagonal n_ef_per_ev_atom=0.750 e_form_mev_per_atom=-404 e_tot_ev_per_cell=-66.29 rho_g_cm3=7.61 pbc="T T T"
Zr 0.0000 1.8068 1.2799
Zr -1.5434 4.4802 1.2799
Zr 1.5648 0.9034 3.8398
Zr 1.5435 4.4802 1.2799
Zr 4.6517 0.9034 3.8398
Zr 3.1082 3.5768 3.8398
Sn 0.0000 3.5891 3.8398
Sn 3.1082 1.7945 1.2799

***

[6]
8
Lattice="5.0804 0.0000 0.0000 0.0000 6.0211 0.0000 0.0000 0.0000 5.6391" Properties=species:S:1:pos:R:3 comment="Zr3Sn PBEsol relaxed" crystal_system=orthorhombic n_ef_per_ev_atom=0.808 e_form_mev_per_atom=-388 e_tot_ev_per_cell=-66.16 rho_g_cm3=7.55 pbc="T T T"
Zr 1.2701 0.0007 0.8366
Zr 1.2701 1.5053 3.5802
Zr 1.2701 3.0098 0.8366
Zr 3.8103 6.0204 4.8025
Zr 3.8103 3.0113 4.8025
Zr 3.8103 4.5158 2.0589
Sn 1.2701 4.5158 3.7454
Sn 3.8103 1.5053 1.8937

***

[7]
8
Lattice="5.5582 0.0000 0.0000 0.0000 5.5582 0.0000 0.0000 0.0000 5.5582" Properties=species:S:1:pos:R:3 comment="Zr3Sn PBEsol relaxed" crystal_system=cubic n_ef_per_ev_atom=1.461 e_form_mev_per_atom=-410 e_tot_ev_per_cell=-66.34 rho_g_cm3=7.59 pbc="T T T"
Zr 0.0000 1.3895 2.7791
Zr 0.0000 4.1686 2.7791
Zr 1.3895 2.7791 0.0000
Zr 2.7791 0.0000 1.3895
Zr 2.7791 0.0000 4.1686
Zr 4.1686 2.7791 0.0000
Sn 0.0000 0.0000 0.0000
Sn 2.7791 2.7791 2.7791

***

[8]
6
Lattice="5.4662 0.0000 0.0000 -2.7331 4.7339 0.0000 0.0000 0.0000 5.0843" Properties=species:S:1:pos:R:3 comment="Zr5Sn PBEsol relaxed" crystal_system=hexagonal n_ef_per_ev_atom=1.048 e_form_mev_per_atom=-208 e_tot_ev_per_cell=-50.95 rho_g_cm3=7.26 pbc="T T T"
Zr -0.8798 1.5239 0.0000
Zr 1.7597 0.0000 0.0000
Zr 0.0000 3.1559 2.5421
Zr 2.7331 1.5780 2.5421
Zr 1.8533 3.2100 0.0000
Sn 0.0000 0.0000 2.5421

***

Please write out number 6 again, unchanged.
8
Lattice="5.0804 0.0000 0.0000 0.0000 6.0211 0.0000 0.0000 0.0000 5.6391" Properties=species:S:1:pos:R:3 comment="Zr3Sn PBEsol relaxed" crystal_system=orthorhombic n_ef_per_ev_atom=0.808 e_form_mev_per_atom=-388 e_tot_ev_per_cell=-66.16 rho_g_cm3=7.55 pbc="T T T"
Zr 1.2701 0.0007 0.8366
Zr 1.2701 1.5053 3.5802
Zr 1.2701 3.0098 0.8366
Zr 3.8103 6.0204 4.8025
Zr 3.8103 3.0113 4.8025
Zr 3.8103 4.5158 2.0589
Sn 1.2701 4.5158 3.7454
Sn 3.8103 1.5053 1.8937